CeY2N: optimized geometry, PBE-GGA.

Unit cell a=3.407 b=3.407 c=9.749 alpha=79.94 beta=79.94 gamma=60.00
Last column: magnetic moment on the atom in μB.
Sites, in units of the cell vectors:
1 Y 0.119 0.119 0.642  -0.02
2 N 0.500 0.500 0.500  0.00
3 Ce 0.000 0.000 0.000  0.76
4 Y 0.881 0.881 0.358  -0.02

## Properties
E_tot = -7.46 eV per atom
Energy relative to the lowest polymorph listed for this composition = 0.00 eV per formula unit
Density of states at the Fermi level = 6.29 states/eV/cell
Energy relative to the elements, uncorrected = -0.67 eV/atom